Compound: Ba3PaPt2O8
Source: Alexandria
Functional: PBE
Structure: relaxed

```
data_Ba3PaPt2O8
_chemical_formula_sum 'Ba3 Pa1 Pt2 O8'
_cell_length_a 5.8845
_cell_length_b 5.8845
_cell_length_c 8.4089
_cell_angle_alpha 90.00
_cell_angle_beta 90.00
_cell_angle_gamma 120.00
_space_group_name_H-M_alt 'P -3 m 1'
_space_group_IT_number 164
_space_group_name_Hall '-P 3 2"'
loop_
_atom_site_label
_atom_site_type_symbol
_atom_site_fract_x
_atom_site_fract_y
_atom_site_fract_z
Ba1 Ba 0.0000 0.0000 0.0000
Ba2 Ba 0.3333 0.6667 0.6461
Pa1 Pa 0.0000 0.0000 0.5000
Pt1 Pt 0.3333 0.6667 0.1790
O1 O 0.1729 0.3457 0.3529
O2 O 0.3333 0.6667 0.9570
```

Formation energy without anion corrections ... -1934 meV per atom

=====

Compound: TiNiH2
Source: Alexandria
Functional: PBE
Structure: relaxed

```
data_TiNiH2
_chemical_formula_sum 'Ti4 Ni4 H8'
_cell_length_a 3.898
_cell_length_b 3.898
_cell_length_c 8.838
_cell_angle_alpha 90.00
_cell_angle_beta 90.00
_cell_angle_gamma 90.00
_space_group_name_H-M_alt 'I -4 2 d'
_space_group_IT_number 122
_space_group_name_Hall 'I -4 2bw'
loop_
_atom_site_label
_atom_site_type_symbol
_atom_site_fract_x
_atom_site_fract_y
_atom_site_fract_z
Ti1 Ti 0.000 0.000 0.000
Ni1 Ni 0.000 0.000 0.500
H1 H 0.197 0.250 0.625
```

ΔE to the lowest computed polymorph ... 41.1 meV/atom

=====

Compound: LaCeErPb
Source: Alexandria
Functional: PBE
Structure: relaxed

```
data_LaCeErPb
_chemical_formula_sum 'La4 Ce4 Er4 Pb4'
_cell_length_a 7.833
_cell_length_b 7.833
_cell_length_c 7.833
_cell_angle_alpha 90.00
_cell_angle_beta 90.00
_cell_angle_gamma 90.00
_space_group_name_H-M_alt 'F -4 3 m'
_space_group_IT_number 216
_space_group_name_Hall 'F -4 2 3'
loop_
_atom_site_label
_atom_site_type_symbol
_atom_site_fract_x
_atom_site_fract_y
_atom_site_fract_z
La1 La 0.000 0.000 0.000
Ce1 Ce 0.250 0.250 0.750
Er1 Er 0.000 0.000 0.500
Pb1 Pb 0.250 0.250 0.250
```

Energy of formation from the pure elements ... -0.07 eV/atom

=====

D(E_F)? In order: 0.443; 1.190; 2.182 states/eV per atom.
VASP energy? In order: -6.721; -5.310; -4.854 eV/atom.